one.
# Ni2HAu2 PBE-GGA optimized geometry
data_Ni2HAu2
_cell_length_a 5.2515
_cell_length_b 5.2515
_cell_length_c 4.6484
_cell_angle_alpha 90.00
_cell_angle_beta 90.00
_cell_angle_gamma 90.00
_space_group_name_H-M_alt 'P 4/m b m'
_space_group_IT_number 127
_space_group_name_Hall '-P 4 2ab'
loop_
_atom_site_label
_atom_site_fract_x
_atom_site_fract_y
_atom_site_fract_z
_atom_site_occupancy
Ni1 0.1699 0.3301 0.0000 1
H1 0.0000 0.0000 0.0000 1
Au1 0.1794 0.6794 0.5000 1
# M_tot = 0.22 μB per formula unit



two.
# Ni2HAu2 PBE-GGA optimized geometry
data_Ni2HAu2
_cell_length_a 3.1935
_cell_length_b 3.1935
_cell_length_c 13.9929
_cell_angle_alpha 90.00
_cell_angle_beta 90.00
_cell_angle_gamma 90.00
_space_group_name_H-M_alt 'I 4/m m m'
_space_group_IT_number 139
_space_group_name_Hall '-I 4 2'
loop_
_atom_site_label
_atom_site_fract_x
_atom_site_fract_y
_atom_site_fract_z
_atom_site_occupancy
Ni1 0.0000 0.5000 0.2500 1
H1 0.0000 0.0000 0.0000 1
Au1 0.0000 0.0000 0.4035 1
# M_tot = 1.02 μB per formula unit



three.
# Ni2HAu2 PBE-GGA optimized geometry
data_Ni2HAu2
_cell_length_a 5.4581
_cell_length_b 5.4581
_cell_length_c 4.4649
_cell_angle_alpha 90.00
_cell_angle_beta 90.00
_cell_angle_gamma 90.00
_space_group_name_H-M_alt 'P 4/m b m'
_space_group_IT_number 127
_space_group_name_Hall '-P 4 2ab'
loop_
_atom_site_label
_atom_site_fract_x
_atom_site_fract_y
_atom_site_fract_z
_atom_site_occupancy
Ni1 0.1545 0.3455 0.0000 1
H1 0.0000 0.0000 0.5000 1
Au1 0.1767 0.6767 0.5000 1
# M_tot = 1.00 μB per formula unit



Stability, descending: one, three, two



one.
# NiHAu PBE-GGA optimized geometry
data_NiHAu
_cell_length_a 2.8841
_cell_length_b 2.9518
_cell_length_c 7.4850
_cell_angle_alpha 90.00
_cell_angle_beta 90.00
_cell_angle_gamma 90.00
_space_group_name_H-M_alt 'P m m n'
_space_group_IT_number 59
loop_
_space_group_symop_operation_xyz
'x,y,z'
'-x,-y,-z'
'-x+1/2,-y+1/2,z'
'x+1/2,y+1/2,-z'
'x+1/2,-y,-z'
'-x+1/2,y,z'
'-x,y+1/2,-z'
'x,-y+1/2,z'
loop_
_atom_site_label
_atom_site_fract_x
_atom_site_fract_y
_atom_site_fract_z
_atom_site_occupancy
Ni1 0.2500 0.2500 0.1172 1
H1 0.2500 0.7500 0.0037 1
Au1 0.2500 0.2500 0.6419 1
# M_tot = 0.00 μB per formula unit



two.
# NiHAu PBE-GGA optimized geometry
data_NiHAu
_cell_length_a 8.9362
_cell_length_b 8.9818
_cell_length_c 6.4993
_cell_angle_alpha 90.00
_cell_angle_beta 90.00
_cell_angle_gamma 90.00
_space_group_name_H-M_alt 'F d d 2'
_space_group_IT_number 43
_space_group_name_Hall 'F 2 -2d'
loop_
_atom_site_label
_atom_site_fract_x
_atom_site_fract_y
_atom_site_fract_z
_atom_site_occupancy
Ni1 0.0807 0.3803 0.0000 1
H1 0.0949 0.0635 0.5346 1
Au1 0.1129 0.3458 0.4138 1
# M_tot = 0.00 μB per formula unit



Stability, descending: one, two



one.
# NiHAu PBE-GGA optimized geometry
data_NiHAu
_cell_length_a 3.5822
_cell_length_b 3.5822
_cell_length_c 5.9140
_cell_angle_alpha 90.00
_cell_angle_beta 90.00
_cell_angle_gamma 90.00
_space_group_name_H-M_alt 'I 4 m m'
_space_group_IT_number 107
_space_group_name_Hall 'I 4 -2'
loop_
_atom_site_label
_atom_site_fract_x
_atom_site_fract_y
_atom_site_fract_z
_atom_site_occupancy
Ni1 0.0000 0.0000 0.0000 1
H1 0.0000 0.0000 0.7419 1
Au1 0.0000 0.0000 0.4357 1
# M_tot = 0.00 μB per formula unit



two.
# NiHAu PBE-GGA optimized geometry
data_NiHAu
_cell_length_a 2.8419
_cell_length_b 2.8419
_cell_length_c 4.5926
_cell_angle_alpha 90.00
_cell_angle_beta 90.00
_cell_angle_gamma 120.00
_space_group_name_H-M_alt 'P 3 m 1'
_space_group_IT_number 156
loop_
_space_group_symop_operation_xyz
'x,y,z'
'-y,x-y,z'
'-x+y,-x,z'
'-y,-x,z'
'-x+y,y,z'
'x,x-y,z'
loop_
_atom_site_label
_atom_site_fract_x
_atom_site_fract_y
_atom_site_fract_z
_atom_site_occupancy
Ni1 0.0000 0.0000 0.0000 1
H1 0.6667 0.3333 0.0149 1
Au1 0.3333 0.6667 0.5035 1
# M_tot = 0.00 μB per formula unit



Stability, descending: two, one



one.
# Ni2HAu PBE-GGA optimized geometry
data_Ni2HAu
_cell_length_a 2.7662
_cell_length_b 2.7662
_cell_length_c 19.2072
_cell_angle_alpha 90.00
_cell_angle_beta 90.00
_cell_angle_gamma 120.00
_space_group_name_H-M_alt 'R -3 m'
_space_group_IT_number 166
_space_group_name_Hall '-R 3 2"'
loop_
_atom_site_label
_atom_site_fract_x
_atom_site_fract_y
_atom_site_fract_z
_atom_site_occupancy
Ni1 0.0000 0.0000 0.2178 1
H1 0.0000 0.0000 0.5000 1
Au1 0.0000 0.0000 0.0000 1
# M_tot = 0.42 μB per formula unit



two.
# Ni2HAu PBE-GGA optimized geometry
data_Ni2HAu
_cell_length_a 5.3455
_cell_length_b 5.3455
_cell_length_c 6.2116
_cell_angle_alpha 90.00
_cell_angle_beta 90.00
_cell_angle_gamma 90.00
_space_group_name_H-M_alt 'I -4 2 d'
_space_group_IT_number 122
_space_group_name_Hall 'I -4 2bw'
loop_
_atom_site_label
_atom_site_fract_x
_atom_site_fract_y
_atom_site_fract_z
_atom_site_occupancy
Ni1 0.0945 0.7500 0.1250 1
H1 0.0000 0.0000 0.0000 1
Au1 0.0000 0.0000 0.5000 1
# M_tot = 0.00 μB per formula unit



three.
# Ni2HAu PBE-GGA optimized geometry
data_Ni2HAu
_cell_length_a 5.7841
_cell_length_b 5.7841
_cell_length_c 5.7841
_cell_angle_alpha 90.00
_cell_angle_beta 90.00
_cell_angle_gamma 90.00
_space_group_name_H-M_alt 'F m -3 m'
_space_group_IT_number 225
_space_group_name_Hall '-F 4 2 3'
loop_
_atom_site_label
_atom_site_fract_x
_atom_site_fract_y
_atom_site_fract_z
_atom_site_occupancy
Ni1 0.2500 0.2500 0.2500 1
H1 0.0000 0.0000 0.0000 1
Au1 0.0000 0.0000 0.5000 1
# M_tot = 0.00 μB per formula unit



Stability, descending: one, two, three



one.
# Ni2HAu PBE-GGA optimized geometry
data_Ni2HAu
_cell_length_a 2.7650
_cell_length_b 2.7650
_cell_length_c 19.2335
_cell_angle_alpha 90.00
_cell_angle_beta 90.00
_cell_angle_gamma 120.00
_space_group_name_H-M_alt 'R 3 m'
_space_group_IT_number 160
_space_group_name_Hall 'R 3 -2"'
loop_
_atom_site_label
_atom_site_fract_x
_atom_site_fract_y
_atom_site_fract_z
_atom_site_occupancy
Ni1 0.0000 0.0000 0.0000 1
Ni2 0.0000 0.0000 0.2317 1
H1 0.0000 0.0000 0.6179 1
Au1 0.0000 0.0000 0.4496 1
# M_tot = 0.28 μB per formula unit



two.
# Ni2HAu PBE-GGA optimized geometry
data_Ni2HAu
_cell_length_a 2.6354
_cell_length_b 2.6354
_cell_length_c 6.3603
_cell_angle_alpha 90.00
_cell_angle_beta 90.00
_cell_angle_gamma 90.00
_space_group_name_H-M_alt 'P 4/m m m'
_space_group_IT_number 123
_space_group_name_Hall '-P 4 2'
loop_
_atom_site_label
_atom_site_fract_x
_atom_site_fract_y
_atom_site_fract_z
_atom_site_occupancy
Ni1 0.0000 0.0000 0.1799 1
H1 0.5000 0.5000 0.0000 1
Au1 0.5000 0.5000 0.5000 1
# M_tot = 0.77 μB per formula unit



Stability, descending: one, two